VASP calculation (PBEsol) on a relaxed structure of SrNiBr.

Structure (extended XYZ):
```
3
Lattice="-1.8772 2.8114 -1.1826 -1.2562 -1.9806 -2.7066 -2.5560 -1.9048 4.9480" Properties=species:S:1:pos:R:3 pbc="T T T"
Br -0.1120 -0.0404 0.0816
Ni -2.8831 -0.0601 -0.9856
Sr -2.6944 -0.9734 1.9629
```

Properties
Raw formation energy = -0.213 eV/atom

***

VASP calculation (PBEsol) on a relaxed structure of LaGe2PdRh.

Structure (extended XYZ):
```
10
Lattice="4.3439 0.0000 0.0000 0.0000 4.3439 0.0000 0.0000 0.0000 9.8631" Properties=species:S:1:pos:R:3 pbc="T T T"
La 0.0000 2.1720 2.5340
La 2.1720 0.0000 7.3291
Ge 0.0000 2.1720 8.5560
Ge 2.1720 0.0000 1.3071
Ge 2.1720 2.1720 4.9316
Ge 0.0000 0.0000 4.9316
Pd 2.1720 2.1720 0.0000
Pd 0.0000 0.0000 0.0000
Rh 0.0000 2.1720 6.1363
Rh 2.1720 0.0000 3.7268
```

Properties
ΔE_f = -0.897 eV/atom

***

VASP calculation (PBEsol) on a relaxed structure of Sc2TcOs.

Structure (extended XYZ):
```
4
Lattice="-0.5162 2.4554 1.4744 -2.4382 0.2721 1.5653 3.4383 -2.6718 8.5254" Properties=species:S:1:pos:R:3 pbc="T T T"
Os 0.1993 -0.0495 3.0244
Sc -2.8311 2.6277 3.2491
Sc 0.2441 0.1379 8.4722
Tc 0.1590 0.0950 5.6417
```

Properties
ΔE_f = 0.213 eV/atom

***

VASP calculation (PBEsol) on a relaxed structure of SbAsIrSe2.

Structure (extended XYZ):
```
5
Lattice="5.0631 0.0000 0.0000 0.0000 5.0631 0.0000 0.0000 0.0000 5.1290" Properties=species:S:1:pos:R:3 pbc="T T T"
Sb 0.0000 0.0000 0.0000
As 0.0000 0.0000 2.5645
Ir 2.5316 2.5316 2.5645
Se 0.0000 2.5316 0.0000
Se 2.5316 0.0000 0.0000
```

Properties
Raw formation energy = 1.669 eV/atom

***

VASP calculation (PBEsol) on a relaxed structure of AlCr2ReI.

Structure (extended XYZ):
```
5
Lattice="4.6021 0.0000 0.0000 0.0000 4.7235 0.0000 0.0000 0.0000 4.7235" Properties=species:S:1:pos:R:3 pbc="T T T"
I 2.3010 2.3618 2.3618
Re 2.3010 0.0000 0.0000
Al 0.0000 0.0000 0.0000
Cr 0.0000 0.0000 2.3618
Cr 0.0000 2.3618 0.0000
```

Properties
Raw formation energy = 1.667 eV/atom

***

VASP calculation (PBEsol) on a relaxed structure of LiYCrW2.

Structure (extended XYZ):
```
5
Lattice="4.2674 0.0000 0.0000 0.0000 4.2674 0.0000 0.0000 0.0000 4.7465" Properties=species:S:1:pos:R:3 pbc="T T T"
Y 0.0000 0.0000 2.3733
Cr 2.1337 2.1337 2.3733
W 0.0000 2.1337 0.0000
W 2.1337 0.0000 0.0000
Li 0.0000 0.0000 0.0000
```

Properties
ΔE_f = 1.632 eV/atom

***

Repeat the first record exactly.
VASP calculation (PBEsol) on a relaxed structure of SrNiBr.

Structure (extended XYZ):
```
3
Lattice="-1.8772 2.8114 -1.1826 -1.2562 -1.9806 -2.7066 -2.5560 -1.9048 4.9480" Properties=species:S:1:pos:R:3 pbc="T T T"
Br -0.1120 -0.0404 0.0816
Ni -2.8831 -0.0601 -0.9856
Sr -2.6944 -0.9734 1.9629
```

Properties
Raw formation energy = -0.213 eV/atom